Sr3Pr4S8 PBE-GGA relaxed; DOS(E_F) = 4.20 states/eV per cell; mass density = 4.37 g/cm3
1.0
5.891 -5.904 0.000
5.891 5.904 0.000
-5.835 0.000 5.922
Sr Pr S
3 4 8
Direct
0.000 0.000 0.000
0.000 0.500 0.000
0.500 0.000 0.000
0.000 0.500 0.500
0.500 0.000 0.500
0.500 0.500 0.000
0.500 0.500 0.500
0.253 0.747 0.000
0.256 0.744 0.500
0.258 0.258 0.507
0.265 0.265 0.018
0.735 0.735 0.982
0.742 0.742 0.493
0.744 0.256 0.500
0.747 0.253 0.000

=====

SrPr2S3 PBE-GGA relaxed; DOS(E_F) = 2.03 states/eV per cell; mass density = 5.10 g/cm3
1.0
-2.062 2.930 6.273
2.062 -2.930 6.273
2.062 2.930 -6.273
Sr Pr S
1 2 3
Direct
0.000 0.000 0.000
0.334 0.334 0.000
0.666 0.666 0.000
0.169 0.669 0.500
0.500 0.000 0.500
0.831 0.331 0.500

=====

SrPrS2 PBE-GGA relaxed; polymorph energy (0 for the lowest one) = 97 meV per atom; DOS(E_F) = 2.02 states/eV per cell; mass density = 4.64 g/cm3
1.0
2.042 1.179 7.261
-2.042 1.179 7.261
0.000 -2.357 7.261
Sr Pr S
1 1 2
Direct
0.000 0.000 0.000
0.174 0.174 0.174
0.585 0.585 0.585
0.758 0.758 0.758

=====

SrTb4PrS8 PBE-GGA relaxed; DOS(E_F) = 3.49 states/eV per cell; mass density = 4.69 g/cm3
1.0
4.105 2.370 6.801
-4.105 2.370 6.801
0.000 -4.741 6.801
Sr Tb Pr S
1 4 1 8
Direct
0.000 0.000 0.000
0.121 0.628 0.628
0.252 0.252 0.252
0.628 0.121 0.628
0.628 0.628 0.121
0.628 0.628 0.628
0.378 0.378 0.857
0.378 0.857 0.378
0.384 0.384 0.384
0.416 0.869 0.869
0.857 0.378 0.378
0.862 0.862 0.862
0.869 0.416 0.869
0.869 0.869 0.416

=====

SrTbPr2S4 PBE-GGA relaxed; DOS(E_F) = 3.02 states/eV per cell; mass density = 5.62 g/cm3
1.0
7.082 0.000 0.000
0.000 4.064 0.000
-2.321 0.000 6.739
Sr Tb Pr S
1 1 2 4
Direct
0.000 0.000 0.000
0.500 0.500 0.000
0.000 0.500 0.500
0.500 0.000 0.500
0.259 0.500 0.247
0.262 0.000 0.761
0.738 0.000 0.239
0.741 0.500 0.753

=====

SrTb2PrS4 PBE-GGA relaxed; DOS(E_F) = 2.91 states/eV per cell; mass density = 5.98 g/cm3
1.0
7.016 0.000 0.000
0.000 4.015 0.000
-2.291 0.000 6.651
Sr Tb Pr S
1 2 1 4
Direct
0.000 0.000 0.000
0.000 0.500 0.500
0.500 0.000 0.500
0.500 0.500 0.000
0.245 0.000 0.733
0.257 0.500 0.268
0.743 0.500 0.732
0.755 0.000 0.267

=====

SrPr2Tl3S6 PBE-GGA relaxed; DOS(E_F) = 5.74 states/eV per cell; mass density = 5.71 g/cm3
1.0
3.694 -6.393 0.000
3.694 6.393 0.000
-2.458 0.000 7.238
Sr Pr Tl S
1 2 3 6
Direct
0.000 0.000 0.000
0.333 0.667 0.000
0.667 0.333 0.000
0.165 0.835 0.500
0.500 0.500 0.500
0.835 0.165 0.500
0.073 0.420 0.217
0.276 0.276 0.787
0.420 0.073 0.217
0.580 0.927 0.783
0.724 0.724 0.213
0.927 0.580 0.783

=====

Sr3Pr3TmS8 PBE-GGA relaxed; DOS(E_F) = 4.82 states/eV per cell; mass density = 4.54 g/cm3
1.0
4.115 2.376 6.933
-4.115 2.376 6.933
0.000 -4.752 6.933
Sr Pr Tm S
3 3 1 8
Direct
0.000 0.500 0.500
0.500 0.000 0.500
0.500 0.500 0.000
0.000 0.000 0.500
0.000 0.500 0.000
0.500 0.000 0.000
0.500 0.500 0.500
0.248 0.248 0.248
0.259 0.733 0.733
0.267 0.267 0.741
0.267 0.741 0.267
0.733 0.259 0.733
0.733 0.733 0.259
0.741 0.267 0.267
0.752 0.752 0.752

=====

SrPr2TmS4 PBE-GGA relaxed; DOS(E_F) = 3.12 states/eV per cell; mass density = 5.79 g/cm3
1.0
7.036 0.000 0.000
0.000 4.034 0.000
-2.299 0.000 6.734
Sr Pr Tm S
1 2 1 4
Direct
0.000 0.000 0.000
0.000 0.500 0.500
0.500 0.000 0.500
0.500 0.500 0.000
0.262 0.500 0.243
0.268 0.000 0.767
0.732 0.000 0.233
0.738 0.500 0.757

=====

SrPrTm4S8 PBE-GGA relaxed; DOS(E_F) = 3.53 states/eV per cell; mass density = 5.05 g/cm3
1.0
4.041 2.333 6.750
-4.041 2.333 6.750
0.000 -4.666 6.750
Sr Pr Tm S
1 1 4 8
Direct
0.000 0.000 0.000
0.629 0.629 0.629
0.122 0.629 0.629
0.253 0.253 0.253
0.629 0.122 0.629
0.629 0.629 0.122
0.376 0.376 0.860
0.376 0.860 0.376
0.385 0.385 0.385
0.418 0.872 0.872
0.860 0.376 0.376
0.862 0.862 0.862
0.872 0.418 0.872
0.872 0.872 0.418

=====

SrPr2YS4 PBE-GGA relaxed; DOS(E_F) = 3.04 states/eV per cell; mass density = 5.03 g/cm3
1.0
7.078 0.000 0.000
0.000 4.061 0.000
-2.319 0.000 6.738
Sr Pr Y S
1 2 1 4
Direct
0.000 0.000 0.000
0.000 0.500 0.500
0.500 0.000 0.500
0.500 0.500 0.000
0.259 0.500 0.246
0.263 0.000 0.762
0.737 0.000 0.238
0.741 0.500 0.754

=====

SrPrY4S8 PBE-GGA relaxed; DOS(E_F) = 3.81 states/eV per cell; mass density = 3.54 g/cm3
1.0
4.096 2.365 6.792
-4.096 2.365 6.792
0.000 -4.730 6.792
Sr Pr Y S
1 1 4 8
Direct
0.000 0.000 0.000
0.372 0.372 0.372
0.372 0.372 0.879
0.372 0.879 0.372
0.748 0.748 0.748
0.879 0.372 0.372
0.131 0.131 0.584
0.131 0.584 0.131
0.138 0.138 0.138
0.143 0.622 0.622
0.584 0.131 0.131
0.616 0.616 0.616
0.622 0.143 0.622
0.622 0.622 0.143

=====

no.,calculated total energy (eV per atom)
1,-5.858
2,-5.972
3,-5.632
4,-6.127
5,-6.062
6,-6.051
7,-4.904
8,-5.866
9,-6.017
10,-6.065
11,-6.288
12,-6.654